No. 1
DFT (PBE) results for Y2ZnTcN after structural relaxation.

Spin magnetization (μB/f.u.): 0.00
Crystal system: tetragonal
ΔE_f (raw) (eV per atom): -0.70

Unit cell a=4.8963 b=4.8963 c=3.9016 alpha=90.00 beta=90.00 gamma=90.00
Fractional positions:
Y  0.0000  0.5000  0.0000
Y  0.5000  0.0000  0.0000
Zn  0.0000  0.0000  0.5000
Tc  0.5000  0.5000  0.5000
N  0.5000  0.5000  0.0000

No. 2
DFT (PBE) results for RbTcSn2 after structural relaxation.

Spin magnetization (μB/f.u.): 0.00
Energy above the most stable polymorph in this dataset (eV/f.u.): 0.00
Crystal system: tetragonal

Unit cell a=8.9566 b=8.9566 c=8.9566 alpha=136.03 beta=136.03 gamma=63.93
Fractional positions:
Rb  0.3750  0.6250  0.7500
Rb  0.6250  0.3750  0.2500
Tc  0.1250  0.8750  0.2500
Tc  0.8750  0.1250  0.7500
Sn  0.0000  0.0000  0.0000
Sn  0.0000  0.0000  0.5000
Sn  0.0000  0.5000  0.0000
Sn  0.5000  0.0000  0.5000

No. 3
DFT (PBE) results for ZrIrPb2 after structural relaxation.

Spin magnetization (μB/f.u.): 0.00
Energy above the most stable polymorph in this dataset (eV/f.u.): 0.25
Crystal system: monoclinic

Unit cell a=5.9353 b=5.9353 c=5.3979 alpha=114.27 beta=114.27 gamma=33.17
Fractional positions:
Zr  0.0000  0.0000  0.0000
Ir  0.6780  0.6780  0.3061
Pb  0.2135  0.2135  0.7887
Pb  0.4253  0.4253  0.4324

No. 4
DFT (PBE) results for Ba3TiBi3 after structural relaxation.

Spin magnetization (μB/f.u.): 1.00
E (eV per atom): -4.3271
Crystal system: orthorhombic

Unit cell a=11.4413 b=11.4413 c=14.5832 alpha=90.00 beta=90.00 gamma=38.13
Fractional positions:
Ba  0.0189  0.6316  0.1326
Ba  0.1316  0.5189  0.6326
Ba  0.1805  0.8195  0.8452
Ba  0.3195  0.6805  0.3452
Ba  0.3684  0.9811  0.1326
Ba  0.4811  0.8684  0.6326
Ba  0.5189  0.1316  0.3674
Ba  0.6316  0.0189  0.8674
Ba  0.6805  0.3195  0.6548
Ba  0.8195  0.1805  0.1548
Ba  0.8684  0.4811  0.3674
Ba  0.9811  0.3684  0.8674
Ti  0.0823  0.0823  0.5000
Ti  0.4177  0.4177  0.0000
Ti  0.5823  0.5823  0.0000
Ti  0.9177  0.9177  0.5000
Bi  0.0374  0.6451  0.3821
Bi  0.1451  0.5374  0.8821
Bi  0.2201  0.7799  0.6000
Bi  0.2799  0.7201  0.1000
Bi  0.3549  0.9626  0.3821
Bi  0.4626  0.8549  0.8821
Bi  0.5374  0.1451  0.1179
Bi  0.6451  0.0374  0.6179
Bi  0.7201  0.2799  0.9000
Bi  0.7799  0.2201  0.4000
Bi  0.8549  0.4626  0.1179
Bi  0.9626  0.3549  0.6179

No. 5
DFT (PBE) results for Cu8SeS5 after structural relaxation.

Spin magnetization (μB/f.u.): 0.00
Crystal system: cubic
ΔE_f (raw) (eV per atom): -0.12

Unit cell a=6.9502 b=6.9502 c=6.9502 alpha=60.00 beta=60.00 gamma=60.00
Fractional positions:
Cu  0.1039  0.6320  0.6320
Cu  0.1102  0.1102  0.1102
Cu  0.1102  0.1102  0.6694
Cu  0.1102  0.6694  0.1102
Cu  0.6320  0.1039  0.6320
Cu  0.6320  0.6320  0.1039
Cu  0.6320  0.6320  0.6320
Cu  0.6694  0.1102  0.1102
Se  0.2500  0.2500  0.2500
S  0.3819  0.8727  0.8727
S  0.5000  0.5000  0.5000
S  0.8727  0.3819  0.8727
S  0.8727  0.8727  0.3819
S  0.8727  0.8727  0.8727

No. 6
DFT (PBE) results for La4Bi2TeAs after structural relaxation.

Spin magnetization (μB/f.u.): 0.00
Crystal system: monoclinic
ΔE_f (raw) (eV per atom): -1.33

Unit cell a=7.9395 b=4.5860 c=7.9686 alpha=90.00 beta=109.36 gamma=90.00
Fractional positions:
La  0.2359  0.0000  0.2350
La  0.2430  0.5000  0.7589
La  0.7570  0.5000  0.2411
La  0.7641  0.0000  0.7650
Bi  0.5000  0.0000  0.0000
Bi  0.5000  0.5000  0.5000
Te  0.0000  0.0000  0.5000
As  0.0000  0.5000  0.0000

no.,theoretical density (g/cm³)
1,6.3
2,4.1
3,12.3
4,6.1
5,5.2
6,7.1